VASP calculation (GGA+U) on a relaxed structure of LaMn3F.

Lattice parameters (Å, degrees): 5.960 5.960 5.960 90.00 90.00 90.00
Last column: magnetic moment on the atom in μB.
Sites, in units of the cell vectors:
Mn 0.500 0.000 0.000  -4.61
La 0.000 0.000 0.000  0.66
Mn 0.000 0.500 0.000  -4.51
Mn 0.000 0.000 0.500  -4.39
F 0.500 0.500 0.500  -0.09

Results
energy: -22.7 eV/cell
mass density: 2.53 g/cm³
symmetry: No. 221
spin magnetization: 13.00 μB/cell